Entry from Alexandria: a geometry-optimized LiMnPbBr6 structure (PBE-GGA).

Properties
D(E_F), states/eV/cell: 3.77
SG: P312
Uncorrected formation energy, meV/atom: -891

```
data_LiMnPbBr6
_cell_length_a 6.489
_cell_length_b 6.856
_cell_length_c 6.856
_cell_angle_alpha 120.00
_cell_angle_beta 90.00
_cell_angle_gamma 90.00
_symmetry_space_group_name_H-M 'P 1'
_symmetry_Int_Tables_number 1
loop_
_symmetry_equiv_pos_as_xyz
'x,y,z'
loop_
_atom_site_label
_atom_site_type_symbol
_atom_site_fract_x
_atom_site_fract_y
_atom_site_fract_z
_atom_site_occupancy
Br1 Br 0.272 0.317 0.295 1
Br2 Br 0.728 0.978 0.295 1
Br3 Br 0.272 0.705 0.022 1
Br4 Br 0.728 0.317 0.022 1
Br5 Br 0.272 0.978 0.683 1
Br6 Br 0.728 0.705 0.683 1
Mn1 Mn 0.500 0.000 0.000 1
Li1 Li 0.500 0.667 0.333 1
Pb1 Pb 0.000 0.333 0.667 1
```

=====

Entry from Alexandria: a geometry-optimized LiMnPb2Br6 structure (PBE-GGA).

Properties
SG: R3
Uncorrected formation energy, meV/atom: -853

```
data_LiMnPb2Br6
_cell_length_a 7.598
_cell_length_b 7.600
_cell_length_c 7.942
_cell_angle_alpha 61.41
_cell_angle_beta 61.42
_cell_angle_gamma 60.00
_symmetry_space_group_name_H-M 'P 1'
_symmetry_Int_Tables_number 1
loop_
_symmetry_equiv_pos_as_xyz
'x,y,z'
loop_
_atom_site_label
_atom_site_type_symbol
_atom_site_fract_x
_atom_site_fract_y
_atom_site_fract_z
_atom_site_occupancy
Pb1 Pb 0.559 0.559 0.323 1
Pb2 Pb 0.995 0.995 0.015 1
Br1 Br 0.584 0.157 0.311 1
Br2 Br 0.947 0.584 0.311 1
Br3 Br 0.690 0.053 0.804 1
Br4 Br 0.053 0.453 0.804 1
Br5 Br 0.157 0.947 0.311 1
Br6 Br 0.453 0.691 0.804 1
Mn1 Mn 0.408 0.408 0.776 1
Li1 Li 0.815 0.815 0.555 1
```

=====

Entry from Alexandria: a geometry-optimized Rb3LiMn2Br8 structure (PBE-GGA).

Properties
D(E_F), states/eV/cell: 0.00
SG: P-3m1
Uncorrected formation energy, meV/atom: -1305

```
data_Rb3LiMn2Br8
_cell_length_a 7.712
_cell_length_b 7.712
_cell_length_c 9.750
_cell_angle_alpha 90.00
_cell_angle_beta 90.00
_cell_angle_gamma 120.00
_symmetry_space_group_name_H-M 'P 1'
_symmetry_Int_Tables_number 1
loop_
_symmetry_equiv_pos_as_xyz
'x,y,z'
loop_
_atom_site_label
_atom_site_type_symbol
_atom_site_fract_x
_atom_site_fract_y
_atom_site_fract_z
_atom_site_occupancy
Rb1 Rb 0.000 0.000 0.000 1
Rb2 Rb 0.667 0.333 0.377 1
Rb3 Rb 0.333 0.667 0.623 1
Br1 Br 0.667 0.333 0.034 1
Br2 Br 0.162 0.325 0.323 1
Br3 Br 0.333 0.667 0.966 1
Br4 Br 0.838 0.675 0.677 1
Br5 Br 0.675 0.838 0.323 1
Br6 Br 0.838 0.162 0.677 1
Br7 Br 0.325 0.162 0.677 1
Br8 Br 0.162 0.838 0.323 1
Mn1 Mn 0.667 0.333 0.784 1
Mn2 Mn 0.333 0.667 0.216 1
Li1 Li 0.000 0.000 0.500 1
```

=====

Entry from Alexandria: a geometry-optimized Rb2LiMnBr6 structure (PBE-GGA).

Properties
SG: P2_1/c
Uncorrected formation energy, meV/atom: -1266

```
data_Rb2LiMnBr6
_cell_length_a 7.690
_cell_length_b 7.468
_cell_length_c 10.860
_cell_angle_alpha 90.00
_cell_angle_beta 91.12
_cell_angle_gamma 90.01
_symmetry_space_group_name_H-M 'P 1'
_symmetry_Int_Tables_number 1
loop_
_symmetry_equiv_pos_as_xyz
'x,y,z'
loop_
_atom_site_label
_atom_site_type_symbol
_atom_site_fract_x
_atom_site_fract_y
_atom_site_fract_z
_atom_site_occupancy
Br1 Br 0.471 0.001 0.273 1
Br2 Br 0.213 0.759 0.514 1
Br3 Br 0.799 0.243 0.010 1
Br4 Br 0.529 0.999 0.727 1
Br5 Br 0.701 0.742 0.489 1
Br6 Br 0.201 0.757 0.990 1
Br7 Br 0.787 0.241 0.486 1
Br8 Br 0.028 0.501 0.227 1
Br9 Br 0.972 0.499 0.773 1
Br10 Br 0.299 0.258 0.511 1
Br11 Br 0.714 0.741 0.014 1
Br12 Br 0.286 0.259 0.986 1
Li1 Li 0.500 0.000 0.000 1
Li2 Li 0.000 0.500 0.500 1
Rb1 Rb 0.503 0.489 0.244 1
Rb2 Rb 0.996 0.988 0.255 1
Rb3 Rb 0.004 0.012 0.745 1
Rb4 Rb 0.497 0.511 0.756 1
Mn1 Mn 0.500 0.000 0.500 1
Mn2 Mn 0.000 0.500 0.000 1
```

=====

Entry from Alexandria: a geometry-optimized RbLi3Mn4Br12 structure (PBE-GGA).

Properties
D(E_F), states/eV/cell: 0.00
SG: R32
Uncorrected formation energy, meV/atom: -1003

```
data_RbLi3Mn4Br12
_cell_length_a 9.270
_cell_length_b 9.270
_cell_length_c 9.270
_cell_angle_alpha 107.63
_cell_angle_beta 107.63
_cell_angle_gamma 107.63
_symmetry_space_group_name_H-M 'P 1'
_symmetry_Int_Tables_number 1
loop_
_symmetry_equiv_pos_as_xyz
'x,y,z'
loop_
_atom_site_label
_atom_site_type_symbol
_atom_site_fract_x
_atom_site_fract_y
_atom_site_fract_z
_atom_site_occupancy
Br1 Br 0.929 0.233 0.339 1
Br2 Br 0.339 0.929 0.233 1
Br3 Br 0.767 0.071 0.661 1
Br4 Br 0.500 0.095 0.905 1
Br5 Br 0.338 0.662 0.500 1
Br6 Br 0.095 0.905 0.500 1
Br7 Br 0.500 0.338 0.662 1
Br8 Br 0.905 0.500 0.095 1
Br9 Br 0.662 0.500 0.338 1
Br10 Br 0.071 0.661 0.767 1
Br11 Br 0.233 0.339 0.929 1
Br12 Br 0.661 0.767 0.071 1
Mn1 Mn 0.067 0.500 0.933 1
Mn2 Mn 0.500 0.500 0.500 1
Mn3 Mn 0.933 0.067 0.500 1
Mn4 Mn 0.500 0.933 0.067 1
Li1 Li 0.565 0.435 0.000 1
Li2 Li 0.435 0.000 0.565 1
Li3 Li 0.000 0.565 0.435 1
Rb1 Rb 0.000 0.000 0.000 1
```

=====

Entry from Alexandria: a geometry-optimized Rb4LiMn3Br12 structure (PBE-GGA).

Properties
D(E_F), states/eV/cell: 5.20
SG: Im-3m
Uncorrected formation energy, meV/atom: -1221

```
data_Rb4LiMn3Br12
_cell_length_a 9.284
_cell_length_b 9.284
_cell_length_c 9.284
_cell_angle_alpha 109.47
_cell_angle_beta 109.47
_cell_angle_gamma 109.47
_symmetry_space_group_name_H-M 'P 1'
_symmetry_Int_Tables_number 1
loop_
_symmetry_equiv_pos_as_xyz
'x,y,z'
loop_
_atom_site_label
_atom_site_type_symbol
_atom_site_fract_x
_atom_site_fract_y
_atom_site_fract_z
_atom_site_occupancy
Br1 Br 0.250 0.750 0.500 1
Br2 Br 0.500 0.250 0.750 1
Br3 Br 0.750 0.500 0.250 1
Br4 Br 0.260 0.000 0.260 1
Br5 Br 0.740 0.740 0.000 1
Br6 Br 0.000 0.740 0.740 1
Br7 Br 0.740 0.000 0.740 1
Br8 Br 0.000 0.260 0.260 1
Br9 Br 0.750 0.250 0.500 1
Br10 Br 0.260 0.260 0.000 1
Br11 Br 0.250 0.500 0.750 1
Br12 Br 0.500 0.750 0.250 1
Rb1 Rb 0.000 0.000 0.500 1
Rb2 Rb 0.000 0.500 0.000 1
Rb3 Rb 0.500 0.500 0.500 1
Rb4 Rb 0.500 0.000 0.000 1
Mn1 Mn 0.500 0.500 0.000 1
Mn2 Mn 0.000 0.500 0.500 1
Mn3 Mn 0.500 0.000 0.500 1
Li1 Li 0.000 0.000 0.000 1
```

=====

Entry from Alexandria: a geometry-optimized RbLiMnBr4 structure (PBE-GGA).

Properties
D(E_F), states/eV/cell: 0.00
SG: P2_1/m
Uncorrected formation energy, meV/atom: -1271

```
data_RbLiMnBr4
_cell_length_a 6.572
_cell_length_b 8.585
_cell_length_c 9.175
_cell_angle_alpha 90.00
_cell_angle_beta 103.04
_cell_angle_gamma 90.00
_symmetry_space_group_name_H-M 'P 1'
_symmetry_Int_Tables_number 1
loop_
_symmetry_equiv_pos_as_xyz
'x,y,z'
loop_
_atom_site_label
_atom_site_type_symbol
_atom_site_fract_x
_atom_site_fract_y
_atom_site_fract_z
_atom_site_occupancy
Mn1 Mn 0.804 0.250 0.687 1
Mn2 Mn 0.196 0.750 0.313 1
Br1 Br 0.628 0.250 0.907 1
Br2 Br 0.498 0.250 0.473 1
Br3 Br 0.062 0.030 0.732 1
Br4 Br 0.938 0.970 0.268 1
Br5 Br 0.372 0.750 0.093 1
Br6 Br 0.938 0.530 0.268 1
Br7 Br 0.062 0.470 0.732 1
Br8 Br 0.502 0.750 0.527 1
Li1 Li 0.693 0.750 0.317 1
Li2 Li 0.307 0.250 0.683 1
Rb1 Rb 0.791 0.750 0.901 1
Rb2 Rb 0.209 0.250 0.099 1
```

=====

Entry from Alexandria: a geometry-optimized LiSc2MnBr structure (PBE-GGA).

Properties
D(E_F), states/eV/cell: 7.74
SG: P4/mmm
Uncorrected formation energy, meV/atom: 283

```
data_LiSc2MnBr
_cell_length_a 4.687
_cell_length_b 5.094
_cell_length_c 4.687
_cell_angle_alpha 90.00
_cell_angle_beta 90.00
_cell_angle_gamma 90.00
_symmetry_space_group_name_H-M 'P 1'
_symmetry_Int_Tables_number 1
loop_
_symmetry_equiv_pos_as_xyz
'x,y,z'
loop_
_atom_site_label
_atom_site_type_symbol
_atom_site_fract_x
_atom_site_fract_y
_atom_site_fract_z
_atom_site_occupancy
Sc1 Sc 0.000 0.000 0.500 1
Sc2 Sc 0.500 0.000 0.000 1
Mn1 Mn 0.000 0.000 0.000 1
Li1 Li 0.000 0.500 0.000 1
Br1 Br 0.500 0.500 0.500 1
```